VASP calculation (PBE) on an optimized crystal structure of Os3W.

Calculated values
**Total energy**: -11.5896 eV per atom
**DFT formation energy**: 6.8 kJ/mol of atoms
**Size of the total moment**: 0.00 μB/f.u.

Structure (CIF):
```
data_Os3W
_cell_length_a 4.763
_cell_length_b 4.763
_cell_length_c 2.759
_cell_angle_alpha 90.00
_cell_angle_beta 90.00
_cell_angle_gamma 109.19
_symmetry_space_group_name_H-M 'P 1'
_symmetry_Int_Tables_number 1
loop_
_symmetry_equiv_pos_as_xyz
'x,y,z'
loop_
_atom_site_label
_atom_site_type_symbol
_atom_site_fract_x
_atom_site_fract_y
_atom_site_fract_z
W1 W 0.500 0.500 0.000
Os1 Os 0.500 0.000 0.500
Os2 Os 0.000 0.000 0.000
Os3 Os 0.000 0.500 0.500
```